# 1
# LiNd2GaPt6 PBE optimized geometry
# Total magnetic moment, μB per formula unit: 0.0
# E_tot, eV/atom: -5.808
data_LiNd2GaPt6
_symmetry_space_group_name_H-M 'R -3 m'
_symmetry_Int_Tables_number 166
_symmetry_space_group_name_Hall '-R 3 2"'
_cell_length_a 5.6508
_cell_length_b 5.6508
_cell_length_c 24.1076
_cell_angle_alpha 90.00
_cell_angle_beta 90.00
_cell_angle_gamma 120.00
loop_
_atom_site_label
_atom_site_fract_x
_atom_site_fract_y
_atom_site_fract_z
_atom_site_occupancy
Li1 0.0000 0.0000 0.0000 1
Nd1 0.0000 0.0000 0.2029 1
Ga1 0.0000 0.0000 0.5000 1
Pt1 0.0064 0.5032 0.7553 1

***

# 2
# PmDyMgOs PBE optimized geometry
# Total magnetic moment, μB per formula unit: 0.0
# Energy relative to the lowest polymorph listed for this composition, meV per atom: 56
data_PmDyMgOs
_symmetry_space_group_name_H-M 'F -4 3 m'
_symmetry_Int_Tables_number 216
_symmetry_space_group_name_Hall 'F -4 2 3'
_cell_length_a 7.153
_cell_length_b 7.153
_cell_length_c 7.153
_cell_angle_alpha 90.00
_cell_angle_beta 90.00
_cell_angle_gamma 90.00
loop_
_atom_site_label
_atom_site_fract_x
_atom_site_fract_y
_atom_site_fract_z
_atom_site_occupancy
Pm1 0.000 0.000 0.000 1
Dy1 0.000 0.000 0.500 1
Mg1 0.250 0.250 0.750 1
Os1 0.250 0.250 0.250 1

***

# 3
# SrInGe PBE optimized geometry
# Total magnetic moment, μB per formula unit: 0.0
# E_tot, eV/atom: -3.320
data_SrInGe
_symmetry_space_group_name_H-M 'F -4 3 m'
_symmetry_Int_Tables_number 216
_symmetry_space_group_name_Hall 'F -4 2 3'
_cell_length_a 7.201
_cell_length_b 7.201
_cell_length_c 7.201
_cell_angle_alpha 90.00
_cell_angle_beta 90.00
_cell_angle_gamma 90.00
loop_
_atom_site_label
_atom_site_fract_x
_atom_site_fract_y
_atom_site_fract_z
_atom_site_occupancy
Sr1 0.000 0.000 0.000 1
In1 0.000 0.000 0.500 1
Ge1 0.250 0.250 0.250 1

***

# 4
# Mg3NbTc PBE optimized geometry
# Total magnetic moment, μB per formula unit: 0.0
# Energy relative to the lowest polymorph listed for this composition, meV per atom: 0
data_Mg3NbTc
_symmetry_space_group_name_H-M 'P m -3 m'
_symmetry_Int_Tables_number 221
_symmetry_space_group_name_Hall '-P 4 2 3'
_cell_length_a 4.809
_cell_length_b 4.809
_cell_length_c 4.809
_cell_angle_alpha 90.00
_cell_angle_beta 90.00
_cell_angle_gamma 90.00
loop_
_atom_site_label
_atom_site_fract_x
_atom_site_fract_y
_atom_site_fract_z
_atom_site_occupancy
Mg1 0.000 0.000 0.500 1
Nb1 0.500 0.500 0.500 1
Tc1 0.000 0.000 0.000 1

***

# 5
# Zn3PbI9 PBE optimized geometry
# Total magnetic moment, μB per formula unit: 1.0
# ΔE_f (raw), eV/f.u.: -6.13
data_Zn3PbI9
_symmetry_space_group_name_H-M 'C 1 c 1'
_symmetry_Int_Tables_number 9
_symmetry_space_group_name_Hall 'C -2yc'
_cell_length_a 19.362
_cell_length_b 10.641
_cell_length_c 14.757
_cell_angle_alpha 90.00
_cell_angle_beta 130.49
_cell_angle_gamma 90.00
loop_
_atom_site_label
_atom_site_fract_x
_atom_site_fract_y
_atom_site_fract_z
_atom_site_occupancy
Zn1 0.000 0.074 0.000 1
Zn2 0.280 0.400 0.661 1
Zn3 0.353 0.104 0.534 1
Pb1 0.132 0.309 0.831 1
I1 0.049 0.008 0.708 1
I2 0.140 0.168 0.036 1
I3 0.146 0.459 0.655 1
I4 0.225 0.194 0.530 1
I5 0.271 0.083 0.868 1
I6 0.314 0.421 0.067 1
I7 0.371 0.255 0.406 1
I8 0.438 0.360 0.876 1
I9 0.484 0.024 0.750 1

***

# 6
# CaLa2Re2N6 PBE optimized geometry
# Total magnetic moment, μB per formula unit: 0.0
# ΔE_f (raw), eV/f.u.: -7.85
data_CaLa2Re2N6
_symmetry_space_group_name_H-M 'R -3 m'
_symmetry_Int_Tables_number 166
_symmetry_space_group_name_Hall '-R 3 2"'
_cell_length_a 5.8241
_cell_length_b 5.8241
_cell_length_c 18.4628
_cell_angle_alpha 90.00
_cell_angle_beta 90.00
_cell_angle_gamma 120.00
loop_
_atom_site_label
_atom_site_fract_x
_atom_site_fract_y
_atom_site_fract_z
_atom_site_occupancy
Ca1 0.0000 0.0000 0.0000 1
La1 0.0000 0.0000 0.2073 1
Re1 0.0000 0.0000 0.4030 1
N1 0.0065 0.5032 0.7651 1

***

# 7
# PmGa2Cu3 PBE optimized geometry
# Total magnetic moment, μB per formula unit: 0.0
# Energy relative to the lowest polymorph listed for this composition, meV per atom: 26
data_PmGa2Cu3
_symmetry_space_group_name_H-M 'P 6/m m m'
_symmetry_Int_Tables_number 191
_symmetry_space_group_name_Hall '-P 6 2'
_cell_length_a 5.3588
_cell_length_b 5.3588
_cell_length_c 4.0138
_cell_angle_alpha 90.00
_cell_angle_beta 90.00
_cell_angle_gamma 120.00
loop_
_atom_site_label
_atom_site_fract_x
_atom_site_fract_y
_atom_site_fract_z
_atom_site_occupancy
Pm1 0.0000 0.0000 0.0000 1
Ga1 0.3333 0.6667 0.0000 1
Cu1 0.0000 0.5000 0.5000 1

***

# 8
# Ho5Bi2Ru2 PBE optimized geometry
# Total magnetic moment, μB per formula unit: 0.0
# E_tot, eV/atom: -5.830
data_Ho5Bi2Ru2
_symmetry_space_group_name_H-M 'I m a 2'
_symmetry_Int_Tables_number 46
_symmetry_space_group_name_Hall 'I 2 -2a'
_cell_length_a 16.976
_cell_length_b 8.402
_cell_length_c 6.861
_cell_angle_alpha 90.00
_cell_angle_beta 90.00
_cell_angle_gamma 90.00
loop_
_atom_site_label
_atom_site_fract_x
_atom_site_fract_y
_atom_site_fract_z
_atom_site_occupancy
Ho1 0.038 0.204 0.000 1
Ho2 0.149 0.600 0.734 1
Ho3 0.250 0.208 0.637 1
Bi1 0.108 0.541 0.198 1
Ru1 0.000 0.000 0.306 1
Ru2 0.250 0.015 0.948 1

***

# 9
# PaCu2SeO8 PBE optimized geometry
# Total magnetic moment, μB per formula unit: 2.4
# ΔE_f (raw), eV/f.u.: -12.36
data_PaCu2SeO8
_symmetry_space_group_name_H-M 'I -4 m 2'
_symmetry_Int_Tables_number 119
_symmetry_space_group_name_Hall 'I -4 -2'
_cell_length_a 6.575
_cell_length_b 6.575
_cell_length_c 6.839
_cell_angle_alpha 90.00
_cell_angle_beta 90.00
_cell_angle_gamma 90.00
loop_
_atom_site_label
_atom_site_fract_x
_atom_site_fract_y
_atom_site_fract_z
_atom_site_occupancy
Pa1 0.000 0.000 0.000 1
Cu1 0.000 0.000 0.500 1
Cu2 0.000 0.500 0.750 1
Se1 0.000 0.500 0.250 1
O1 0.000 0.199 0.298 1
O2 0.000 0.321 0.956 1

***

# 10
# Tb4Nd8Dy PBE optimized geometry
# Total magnetic moment, μB per formula unit: 0.0
# E_tot, eV/atom: -4.525
data_Tb4Nd8Dy
_symmetry_space_group_name_H-M 'R -3 m'
_symmetry_Int_Tables_number 166
_symmetry_space_group_name_Hall '-R 3 2"'
_cell_length_a 7.3240
_cell_length_b 7.3240
_cell_length_c 28.9424
_cell_angle_alpha 90.00
_cell_angle_beta 90.00
_cell_angle_gamma 120.00
loop_
_atom_site_label
_atom_site_fract_x
_atom_site_fract_y
_atom_site_fract_z
_atom_site_occupancy
Tb1 0.0000 0.0000 0.0000 1
Tb2 0.0000 0.5000 0.0000 1
Nd1 0.0000 0.0000 0.2125 1
Nd2 0.0313 0.5156 0.7643 1
Dy1 0.0000 0.0000 0.5000 1

***

# 11
# PuRu2O6 PBE optimized geometry
# Total magnetic moment, μB per formula unit: 2.8
# ΔE_f (raw), eV/f.u.: -14.96
data_PuRu2O6
_symmetry_space_group_name_H-M 'P 42/m n m'
_symmetry_Int_Tables_number 136
_symmetry_space_group_name_Hall '-P 4n 2n'
_cell_length_a 4.798
_cell_length_b 4.798
_cell_length_c 9.406
_cell_angle_alpha 90.00
_cell_angle_beta 90.00
_cell_angle_gamma 90.00
loop_
_atom_site_label
_atom_site_fract_x
_atom_site_fract_y
_atom_site_fract_z
_atom_site_occupancy
Pu1 0.000 0.000 0.000 1
Ru1 0.000 0.000 0.329 1
O1 0.182 0.182 0.500 1
O2 0.207 0.207 0.174 1

***

# 12
# GdSc2In PBE optimized geometry
# Total magnetic moment, μB per formula unit: 8.4
# Energy relative to the lowest polymorph listed for this composition, meV per atom: 0
data_GdSc2In
_symmetry_space_group_name_H-M 'P 4/m m m'
_symmetry_Int_Tables_number 123
_symmetry_space_group_name_Hall '-P 4 2'
_cell_length_a 4.665
_cell_length_b 4.665
_cell_length_c 4.612
_cell_angle_alpha 90.00
_cell_angle_beta 90.00
_cell_angle_gamma 90.00
loop_
_atom_site_label
_atom_site_fract_x
_atom_site_fract_y
_atom_site_fract_z
_atom_site_occupancy
Gd1 0.000 0.000 0.000 1
Sc1 0.000 0.500 0.500 1
In1 0.500 0.500 0.000 1

***

What is the formula in the ninth record?
PaCu2SeO8

***

Among the records above, which one has the highest total magnetic moment?
GdSc2In

***

Look up the total magnetic moment of the tenth one.
0.0 μB per formula unit